! LaHo3Bi4 PBE relaxed; values from VASP
&SYSTEM
  ibrav = 0, nat = 8, ntyp = 3
/
ATOMIC_SPECIES
Bi 208.98 Bi.upf
La 138.91 La.upf
Ho 164.93 Ho.upf
ATOMIC_POSITIONS angstrom
Bi 2.185 2.145 6.408
La 2.168 4.172 8.960
Ho 4.405 0.383 7.899
Ho 2.202 0.192 3.950
Bi 4.481 5.980 7.540
Bi 4.513 1.868 2.634
Ho 4.497 3.924 5.087
Bi 2.277 5.760 3.690
CELL_PARAMETERS angstrom
4.532 -0.057 0.077
0.057 7.521 2.198
-0.127 0.439 7.822
! - ΔH_f (0 K) (eV/atom) = -0.88
! - ρ (Mg/m³) = 9.3
! - N(E_F) (states/eV per atom) = 0.15